The following is a DFT calculation (PBEsol) of an optimized crystal structure of MgMoRh2.

Lattice parameters (Å, degrees): 2.8036 3.5901 5.8204 90.00 90.00 90.00
Sites, in units of the cell vectors:
Mg: 0.0000 0.0000 0.0000
Mo: 0.0000 0.0000 0.5000
Rh: 0.5000 0.5000 0.2602
Rh: 0.5000 0.5000 0.7398

The magnetization comes out at 0.0 Bohr magnetons per cell. The uncorrected energy is -7.65 eV per atom. The value obtained for the energy relative to the elements is -4.76 kcal/mol of atoms.